Below is Tl2Re after structural relaxation, with properties calculated at the PBE-GGA level.

Results
offset from the most stable computed form	611	meV/atom
size of the total moment	0.000	μB/atom
D(E_F)	0.80	states/eV/atom
space group	Immm

Lattice parameters (Å, degrees): 5.6120 5.6120 5.6120 149.10 134.76 55.79
Last column: nearest neighbours and their distance in Å.
Atoms (fractional coordinates):
Re 0.0000 0.0000 0.0000  2 Re 2.99, 8 Tl 3.03
Tl 0.3468 0.3468 0.0000  7 Tl 2.99-3.25, 4 Re 3.03
Tl 0.6532 0.6532 0.0000  7 Tl 2.99-3.25, 4 Re 3.03

=====

Below is SrLa2IrI after structural relaxation, with properties calculated at the PBE-GGA level.

Results
ΔE_f (raw)	-584	meV per atom
size of the total moment	0.000	μB/atom
D(E_F)	0.77	states/eV/atom
space group	P4/mmm

Lattice parameters (Å, degrees): 5.5155 5.5155 6.4180 90.00 90.00 90.00
Last column: nearest neighbours and their distance in Å.
Atoms (fractional coordinates):
I 0.5000 0.5000 0.5000  4 Sr 3.90, 8 La 4.23
Sr 0.0000 0.0000 0.5000  2 Ir 3.21
Ir 0.0000 0.0000 0.0000  4 La 2.76
La 0.0000 0.5000 0.0000  2 Ir 2.76
La 0.5000 0.0000 0.0000  2 Ir 2.76

=====

Below is CeY3Tm2Bi6 after structural relaxation, with properties calculated at the PBE-GGA level.

Results
total energy	-67.6	eV per cell
size of the total moment	0.061	μB/atom
D(E_F)	0.53	states/eV/atom
space group	C2/m

Lattice parameters (Å, degrees): 7.7703 7.7703 7.7808 99.59 99.59 120.02
Last column: nearest neighbours and their distance in Å.
Atoms (fractional coordinates):
Ce 0.0000 0.0000 0.0000  6 Bi 3.20-3.21
Y 0.1640 0.8360 0.5000  6 Bi 3.16-3.19
Y 0.8360 0.1640 0.5000  6 Bi 3.16-3.19
Y 0.5000 0.5000 0.5000  6 Bi 3.15-3.19
Tm 0.3325 0.6675 0.0000  6 Bi 3.15-3.16
Tm 0.6675 0.3325 0.0000  6 Bi 3.15-3.16
Bi 0.9164 0.5780 0.7497  2 Tm 3.15-3.16, 3 Y 3.16-3.19, 1 Ce 3.21
Bi 0.7435 0.7435 0.2472  3 Y 3.15-3.18, 2 Tm 3.15, 1 Ce 3.20
Bi 0.0836 0.4220 0.2503  2 Tm 3.15-3.16, 3 Y 3.16-3.19, 1 Ce 3.21
Bi 0.5780 0.9164 0.7497  2 Tm 3.15-3.16, 3 Y 3.16-3.19, 1 Ce 3.21
Bi 0.2565 0.2565 0.7528  3 Y 3.15-3.18, 2 Tm 3.15, 1 Ce 3.20
Bi 0.4220 0.0836 0.2503  2 Tm 3.15-3.16, 3 Y 3.16-3.19, 1 Ce 3.21